# TlSb2P, optimized geometry, DFT PBEsol
data_TlSb2P
_cell_length_a 3.7081
_cell_length_b 3.7081
_cell_length_c 25.8650
_cell_angle_alpha 90.00
_cell_angle_beta 90.00
_cell_angle_gamma 120.00
_space_group_name_H-M_alt 'R 3 m'
_space_group_IT_number 160
_space_group_name_Hall 'R 3 -2"'
loop_
_atom_site_label
_atom_site_type_symbol
_atom_site_fract_x
_atom_site_fract_y
_atom_site_fract_z
Tl1 Tl 0.0000 0.0000 0.0000
Sb1 Sb 0.0000 0.0000 0.5246
Sb2 Sb 0.0000 0.0000 0.7636
P1 P 0.0000 0.0000 0.2496
# Formation energy without anion corrections, eV per atom: 0.17
# Magnetization, Bohr magnetons per cell: 0.00
# DOS(E_F), states/eV/f.u.: 2.1
# Distance to the lowest polymorph of the same formula, eV per atom: 0.000